(1)
This record from the Alexandria database describes crystalline LiNd3Zn4 at its relaxed geometry. The functional is PBE.

abc: 8.885 8.885 8.885
angles: 33.15 33.15 33.15
Fractional coordinates of all 8 atoms:
1 Li 0.000 0.000 0.000
2 Nd 0.255 0.255 0.255
3 Nd 0.500 0.500 0.500
4 Nd 0.745 0.745 0.745
5 Zn 0.122 0.122 0.122
6 Zn 0.374 0.374 0.374
7 Zn 0.626 0.626 0.626
8 Zn 0.878 0.878 0.878

Output
Space group: R-3m (166)
Calculated volume: 23.339 Å³ per atom
M_tot: 0.00 Bohr magnetons per cell
Formation energy: -0.252 eV/atom

---

(2)
This record from the Alexandria database describes crystalline PrScO at its relaxed geometry. The functional is PBE.

abc: 6.069 6.069 6.069
angles: 90.00 90.00 90.00
Fractional coordinates of all 12 atoms:
1 Pr 0.081 0.081 0.081
2 Pr 0.419 0.919 0.581
3 Pr 0.581 0.419 0.919
4 Pr 0.919 0.581 0.419
5 Sc 0.102 0.602 0.898
6 Sc 0.398 0.398 0.398
7 Sc 0.602 0.898 0.102
8 Sc 0.898 0.102 0.602
9 O 0.196 0.304 0.696
10 O 0.304 0.696 0.196
11 O 0.696 0.196 0.304
12 O 0.804 0.804 0.804

Output
Space group: P2_13 (198)
Calculated volume: 18.630 Å³ per atom
M_tot: 0.00 Bohr magnetons per cell
Energy relative to the elements, uncorrected: -1.493 eV per atom

---

(3)
This record from the Alexandria database describes crystalline TbSmHoGa at its relaxed geometry. The functional is PBE.

abc: 5.353 5.353 5.353
angles: 60.00 60.00 60.00
Fractional coordinates of all 4 atoms:
1 Tb 0.000 0.000 0.000
2 Sm 0.500 0.500 0.500
3 Ho 0.750 0.750 0.750
4 Ga 0.250 0.250 0.250

Output
Space group: F-43m (216)
Calculated volume: 27.115 Å³ per atom
M_tot: 0.82 Bohr magnetons per cell
Formation energy: -0.088 eV/atom

---

(4)
This record from the Alexandria database describes crystalline SiTcRuC at its relaxed geometry. The functional is PBE.

abc: 2.819 2.913 5.915
angles: 90.00 90.00 90.00
Fractional coordinates of all 4 atoms:
1 Si 0.000 0.000 0.000
2 Tc 0.500 0.000 0.358
3 Ru 0.500 0.500 0.765
4 C 0.000 0.500 0.480

Output
Space group: Pmm2 (25)
Calculated volume: 12.147 Å³ per atom
M_tot: 0.00 Bohr magnetons per cell
Energy relative to the elements, uncorrected: -0.024 eV per atom

---

(5)
This record from the Alexandria database describes crystalline AsP2Br at its relaxed geometry. The functional is PBE.

abc: 3.639 4.658 5.491
angles: 90.00 108.72 90.00
Fractional coordinates of all 4 atoms:
1 As 0.000 0.000 0.000
2 P 0.326 0.500 0.137
3 P 0.674 0.500 0.863
4 Br 0.000 0.000 0.500

Output
Space group: P2/m (10)
Calculated volume: 22.038 Å³ per atom
M_tot: 0.00 Bohr magnetons per cell
Energy relative to the elements, uncorrected: 0.214 eV per atom

---

(6)
This record from the Alexandria database describes crystalline AgPt2Au at its relaxed geometry. The functional is PBE.

abc: 4.566 4.566 4.566
angles: 60.00 60.00 60.00
Fractional coordinates of all 4 atoms:
1 Ag 0.000 0.000 0.000
2 Pt 0.250 0.250 0.250
3 Pt 0.500 0.500 0.500
4 Au 0.750 0.750 0.750

Output
Space group: F-43m (216)
Calculated volume: 16.833 Å³ per atom
M_tot: 0.00 Bohr magnetons per cell
Formation energy: 0.115 eV/atom

---

(7)
This record from the Alexandria database describes crystalline ThCdIr at its relaxed geometry. The functional is PBE.

abc: 7.621 4.041 13.263
angles: 90.00 90.83 90.00
Fractional coordinates of all 18 atoms:
1 Th 0.054 0.250 0.377
2 Th 0.165 0.250 0.081
3 Th 0.441 0.750 0.713
4 Th 0.559 0.250 0.287
5 Th 0.835 0.750 0.919
6 Th 0.946 0.750 0.623
7 Cd 0.112 0.250 0.797
8 Cd 0.374 0.750 0.462
9 Cd 0.491 0.250 0.916
10 Cd 0.509 0.750 0.084
11 Cd 0.626 0.250 0.538
12 Cd 0.888 0.750 0.203
13 Ir 0.225 0.250 0.592
14 Ir 0.226 0.750 0.928
15 Ir 0.271 0.750 0.253
16 Ir 0.729 0.250 0.747
17 Ir 0.774 0.250 0.072
18 Ir 0.775 0.750 0.408

Output
Space group: P2_1/m (11)
Calculated volume: 22.690 Å³ per atom
M_tot: 0.00 Bohr magnetons per cell
Formation energy: -0.631 eV/atom

---

(8)
This record from the Alexandria database describes crystalline Dy3SnAu at its relaxed geometry. The functional is PBE.

abc: 8.350 8.350 8.254
angles: 90.03 90.03 83.22
Fractional coordinates of all 20 atoms:
1 Dy 0.008 0.201 0.086
2 Dy 0.076 0.424 0.702
3 Dy 0.201 0.008 0.586
4 Dy 0.299 0.493 0.086
5 Dy 0.424 0.076 0.202
6 Dy 0.493 0.299 0.586
7 Dy 0.507 0.701 0.414
8 Dy 0.576 0.924 0.798
9 Dy 0.701 0.507 0.914
10 Dy 0.799 0.992 0.414
11 Dy 0.924 0.576 0.298
12 Dy 0.992 0.799 0.914
13 Sn 0.155 0.845 0.250
14 Sn 0.344 0.656 0.750
15 Sn 0.656 0.344 0.250
16 Sn 0.845 0.155 0.750
17 Au 0.189 0.312 0.378
18 Au 0.312 0.189 0.878
19 Au 0.688 0.811 0.122
20 Au 0.811 0.688 0.622

Output
Space group: C2/c (15)
Calculated volume: 28.576 Å³ per atom
M_tot: 0.00 Bohr magnetons per cell
Formation energy: -0.577 eV/atom

---

(9)
This record from the Alexandria database describes crystalline Pr2Er3Pb4 at its relaxed geometry. The functional is PBE.

abc: 8.458 8.426 8.207
angles: 90.00 111.42 90.00
Fractional coordinates of all 18 atoms:
1 Pr 0.193 0.179 0.057
2 Pr 0.193 0.321 0.557
3 Pr 0.807 0.679 0.443
4 Pr 0.807 0.821 0.943
5 Er 0.246 0.659 0.239
6 Er 0.246 0.841 0.739
7 Er 0.500 0.000 0.500
8 Er 0.500 0.500 0.000
9 Er 0.754 0.159 0.261
10 Er 0.754 0.341 0.761
11 Pb 0.086 0.543 0.834
12 Pb 0.086 0.957 0.334
13 Pb 0.494 0.140 0.859
14 Pb 0.494 0.360 0.359
15 Pb 0.506 0.640 0.641
16 Pb 0.506 0.860 0.141
17 Pb 0.914 0.043 0.666
18 Pb 0.914 0.457 0.166

Output
Space group: P2_1/c (14)
Calculated volume: 30.248 Å³ per atom
M_tot: 0.00 Bohr magnetons per cell
Formation energy: -0.583 eV/atom

---

(10)
This record from the Alexandria database describes crystalline Tl2ZnF5 at its relaxed geometry. The functional is PBE.

abc: 6.155 6.155 6.155
angles: 121.50 121.50 87.42
Fractional coordinates of all 8 atoms:
1 Tl 0.000 0.500 0.500
2 Tl 0.500 0.000 0.500
3 Zn 0.212 0.212 0.000
4 F 0.368 0.368 0.453
5 F 0.368 0.916 0.000
6 F 0.425 0.425 0.000
7 F 0.916 0.368 0.000
8 F 0.916 0.916 0.547

Output
Space group: I4mm (107)
Calculated volume: 20.116 Å³ per atom
M_tot: 0.89 Bohr magnetons per cell
Energy relative to the elements, uncorrected: -1.832 eV per atom

---

(11)
This record from the Alexandria database describes crystalline Nd7Sm6Er16 at its relaxed geometry. The functional is PBE.

abc: 11.218 11.218 11.218
angles: 60.00 60.00 60.00
Fractional coordinates of all 29 atoms:
1 Nd 0.000 0.000 0.000
2 Nd 0.000 0.000 0.500
3 Nd 0.000 0.500 0.000
4 Nd 0.000 0.500 0.500
5 Nd 0.500 0.000 0.000
6 Nd 0.500 0.000 0.500
7 Nd 0.500 0.500 0.000
8 Sm 0.261 0.261 0.739
9 Sm 0.261 0.739 0.261
10 Sm 0.261 0.739 0.739
11 Sm 0.739 0.261 0.261
12 Sm 0.739 0.261 0.739
13 Sm 0.739 0.739 0.261
14 Er 0.049 0.650 0.650
15 Er 0.129 0.129 0.129
16 Er 0.129 0.129 0.612
17 Er 0.129 0.612 0.129
18 Er 0.350 0.350 0.350
19 Er 0.350 0.350 0.951
20 Er 0.350 0.951 0.350
21 Er 0.388 0.871 0.871
22 Er 0.612 0.129 0.129
23 Er 0.650 0.049 0.650
24 Er 0.650 0.650 0.049
25 Er 0.650 0.650 0.650
26 Er 0.871 0.388 0.871
27 Er 0.871 0.871 0.388
28 Er 0.871 0.871 0.871
29 Er 0.951 0.350 0.350

Output
Space group: Fm-3m (225)
Calculated volume: 34.422 Å³ per atom
M_tot: 0.00 Bohr magnetons per cell
Formation energy: 0.243 eV/atom

---

(12)
This record from the Alexandria database describes crystalline NiPdI4 at its relaxed geometry. The functional is PBE.

abc: 6.904 4.022 7.208
angles: 90.00 91.19 90.00
Fractional coordinates of all 6 atoms:
1 Ni 0.000 0.000 0.000
2 Pd 0.500 0.500 0.000
3 I 0.164 0.500 0.212
4 I 0.314 0.000 0.785
5 I 0.686 0.000 0.215
6 I 0.836 0.500 0.788

Output
Space group: P2/m (10)
Calculated volume: 33.350 Å³ per atom
M_tot: 2.46 Bohr magnetons per cell
Energy relative to the elements, uncorrected: -0.079 eV per atom

---

(13)
This record from the Alexandria database describes crystalline KYP at its relaxed geometry. The functional is PBE.

abc: 3.937 3.937 6.713
angles: 90.00 90.00 90.00
Fractional coordinates of all 3 atoms:
1 K 0.000 0.000 0.000
2 Y 0.500 0.500 0.500
3 P 0.000 0.000 0.500

Output
Space group: P4/mmm (123)
Calculated volume: 34.687 Å³ per atom
M_tot: 0.34 Bohr magnetons per cell
Formation energy: -0.712 eV/atom

---

(14)
This record from the Alexandria database describes crystalline Ta2MnAg at its relaxed geometry. The functional is PBE.

abc: 4.511 4.511 4.511
angles: 60.00 60.00 60.00
Fractional coordinates of all 4 atoms:
1 Ta 0.250 0.250 0.250
2 Ta 0.750 0.750 0.750
3 Mn 0.000 0.000 0.000
4 Ag 0.500 0.500 0.500

Output
Space group: Fm-3m (225)
Calculated volume: 16.228 Å³ per atom
M_tot: 0.00 Bohr magnetons per cell
Formation energy: 0.352 eV/atom

---

(15)
This record from the Alexandria database describes crystalline Ba2LiPI at its relaxed geometry. The functional is PBE.

abc: 6.566 6.566 5.421
angles: 90.00 90.00 90.00
Fractional coordinates of all 5 atoms:
1 Ba 0.000 0.500 0.000
2 Ba 0.500 0.000 0.000
3 Li 0.000 0.000 0.500
4 P 0.500 0.500 0.500
5 I 0.500 0.500 0.000

Output
Space group: P4/mmm (123)
Calculated volume: 46.742 Å³ per atom
M_tot: 0.00 Bohr magnetons per cell
Energy relative to the elements, uncorrected: -0.031 eV per atom

---

(16)
This record from the Alexandria database describes crystalline Ce3Zr2UAs6 at its relaxed geometry. The functional is PBE.

abc: 9.101 9.101 8.182
angles: 103.25 103.25 25.74
Fractional coordinates of all 12 atoms:
1 Ce 0.000 0.000 0.000
2 Ce 0.335 0.335 0.668
3 Ce 0.665 0.665 0.332
4 Zr 0.331 0.331 0.161
5 Zr 0.669 0.669 0.839
6 U 0.000 0.000 0.500
7 As 0.166 0.166 0.598
8 As 0.171 0.171 0.074
9 As 0.493 0.493 0.252
10 As 0.507 0.507 0.748
11 As 0.829 0.829 0.926
12 As 0.834 0.834 0.402

Output
Space group: C2/m (12)
Calculated volume: 23.842 Å³ per atom
M_tot: 4.06 Bohr magnetons per cell
Formation energy: -1.221 eV/atom

---

(17)
This record from the Alexandria database describes crystalline TbSiGe at its relaxed geometry. The functional is PBE.

abc: 5.980 5.980 5.980
angles: 141.82 96.41 95.87
Fractional coordinates of all 6 atoms:
1 Tb 0.248 0.000 0.248
2 Tb 0.752 0.000 0.752
3 Si 0.148 0.648 0.500
4 Si 0.852 0.352 0.500
5 Ge 0.331 0.331 0.000
6 Ge 0.669 0.669 0.000

Output
Space group: Immm (71)
Calculated volume: 20.818 Å³ per atom
M_tot: 0.00 Bohr magnetons per cell
Energy relative to the elements, uncorrected: -0.524 eV per atom

---

(18)
This record from the Alexandria database describes crystalline La8Tb3Nd2 at its relaxed geometry. The functional is PBE.

abc: 11.134 11.134 5.860
angles: 90.02 90.02 40.73
Fractional coordinates of all 13 atoms:
1 La 0.098 0.696 0.000
2 La 0.173 0.173 0.501
3 La 0.304 0.902 0.000
4 La 0.369 0.369 0.500
5 La 0.631 0.631 0.500
6 La 0.696 0.098 0.000
7 La 0.827 0.827 0.499
8 La 0.902 0.304 0.000
9 Tb 0.219 0.781 0.500
10 Tb 0.500 0.500 0.000
11 Tb 0.781 0.219 0.500
12 Nd 0.259 0.259 0.001
13 Nd 0.741 0.741 0.999

Output
Space group: C2/m (12)
Calculated volume: 36.459 Å³ per atom
M_tot: 0.00 Bohr magnetons per cell
Formation energy: 0.172 eV/atom

---

(19)
This record from the Alexandria database describes crystalline Mg5Bi2H2 at its relaxed geometry. The functional is PBE.

abc: 5.782 5.782 8.761
angles: 93.92 93.92 38.32
Fractional coordinates of all 9 atoms:
1 Mg 0.000 0.000 0.000
2 Mg 0.141 0.141 0.564
3 Mg 0.276 0.276 0.152
4 Mg 0.724 0.724 0.848
5 Mg 0.859 0.859 0.436
6 Bi 0.435 0.435 0.720
7 Bi 0.565 0.565 0.280
8 H 0.176 0.176 0.950
9 H 0.824 0.824 0.050

Output
Final energy: -23.07 eV for the cell shown
Space group: C2/m (12)
Calculated volume: 20.130 Å³ per atom
M_tot: 0.00 Bohr magnetons per cell

---

(20)
This record from the Alexandria database describes crystalline Pr2Sm5Te4 at its relaxed geometry. The functional is PBE.

abc: 12.985 12.985 7.637
angles: 92.14 92.14 18.14
Fractional coordinates of all 11 atoms:
1 Pr 0.233 0.233 0.304
2 Pr 0.767 0.767 0.696
3 Sm 0.000 0.000 0.500
4 Sm 0.343 0.343 0.006
5 Sm 0.364 0.364 0.490
6 Sm 0.636 0.636 0.510
7 Sm 0.657 0.657 0.994
8 Te 0.097 0.097 0.231
9 Te 0.452 0.452 0.231
10 Te 0.548 0.548 0.769
11 Te 0.903 0.903 0.769

Output
Space group: C2/m (12)
Calculated volume: 36.415 Å³ per atom
M_tot: 0.63 Bohr magnetons per cell
Energy relative to the elements, uncorrected: -0.660 eV per atom

---

(21)
This record from the Alexandria database describes crystalline CeCoCu3 at its relaxed geometry. The functional is PBE.

abc: 4.579 5.833 6.184
angles: 90.00 111.31 90.00
Fractional coordinates of all 10 atoms:
1 Ce 0.164 0.250 0.165
2 Ce 0.836 0.750 0.835
3 Co 0.339 0.750 0.001
4 Co 0.661 0.250 0.999
5 Cu 0.258 0.041 0.672
6 Cu 0.258 0.459 0.672
7 Cu 0.269 0.750 0.383
8 Cu 0.731 0.250 0.617
9 Cu 0.742 0.541 0.328
10 Cu 0.742 0.959 0.328

Output
Space group: P2_1/m (11)
Calculated volume: 15.390 Å³ per atom
M_tot: 0.00 Bohr magnetons per cell
Formation energy: -0.104 eV/atom

---

(22)
This record from the Alexandria database describes crystalline La8Pm6Pr at its relaxed geometry. The functional is PBE.

abc: 15.566 15.566 15.566
angles: 23.83 23.83 23.83
Fractional coordinates of all 15 atoms:
1 La 0.034 0.368 0.701
2 La 0.167 0.167 0.167
3 La 0.299 0.966 0.632
4 La 0.368 0.701 0.034
5 La 0.632 0.299 0.966
6 La 0.701 0.034 0.368
7 La 0.833 0.833 0.833
8 La 0.966 0.632 0.299
9 Pm 0.101 0.767 0.434
10 Pm 0.233 0.566 0.899
11 Pm 0.434 0.101 0.767
12 Pm 0.566 0.899 0.233
13 Pm 0.767 0.434 0.101
14 Pm 0.899 0.233 0.566
15 Pr 0.500 0.500 0.500

Output
Space group: R-3 (148)
Calculated volume: 36.046 Å³ per atom
M_tot: 0.00 Bohr magnetons per cell
Formation energy: 0.021 eV/atom

---

Record order is preserved below.
Mass density: 6.24; 6.00; 8.33; 8.17; 4.08; 17.14; 13.09; 9.33; 9.84; 5.87; 7.63; 5.58; 2.54; 13.42; 3.12; 7.49; 6.90; 6.57; 4.96; 6.40; 8.41; 6.52 g/cm³